! LaTl2Se2 (GGA-PBE, relaxed); values from VASP
! magnetic moment	0.0	μB per formula unit
! SG	P4/mbm, No. 127
! density of states at the Fermi level	4.28	states/eV/cell
! E	-4.15	eV per atom
! crystal system	tetragonal
&SYSTEM
  ibrav = 0, nat = 10, ntyp = 3
/
ATOMIC_SPECIES
Tl 204.38 Tl.upf
Se 78.96 Se.upf
La 138.91 La.upf
CELL_PARAMETERS angstrom
-4.0389 6.8313 0.5538
-3.4275 -1.4565 -7.0297
-3.7092 -2.3796 2.3016
ATOMIC_POSITIONS crystal
Tl 0.6506 0.8494 0.5000
Se 0.1693 0.3307 0.0000
Se 0.6693 0.1693 0.0000
Se 0.3307 0.8307 0.0000
Tl 0.3494 0.1506 0.5000
Tl 0.8494 0.3494 0.5000
Tl 0.1506 0.6506 0.5000
Se 0.8307 0.6693 0.0000
La 0.5000 0.5000 0.0000
La 0.0000 0.0000 0.0000